1.
A plane-wave DFT calculation with PBE was carried out for a relaxed structure of Cd2HgPb.

abc: 5.6992 6.0886 3.6198
angles: 77.29 80.50 114.77
Fractional coordinates of all 4 atoms:
Pb 0.5000 0.5000 0.0000
Hg 0.0000 0.5000 0.5000
Cd 0.0000 0.0000 0.0000
Cd 0.5000 0.0000 0.5000

Computed properties:
- Energy relative to the elements: 0.05 eV per atom
- Space group: No. 12

=====

2.
A plane-wave DFT calculation with PBE was carried out for a relaxed structure of Cs2KHfI6.

abc: 8.8642 8.8642 8.8644
angles: 60.00 60.00 90.00
Fractional coordinates of all 10 atoms:
Cs 0.7500 0.2500 0.5000
Cs 0.2500 0.7500 0.5000
I 0.2308 0.2308 0.5385
I 0.7692 0.7692 0.4615
I 0.2308 0.2308 0.0000
I 0.7692 0.7692 0.0000
I 0.7692 0.2308 0.0000
I 0.2308 0.7692 0.0000
K 0.5000 0.5000 0.0000
Hf 0.0000 0.0000 0.0000

Computed properties:
- Energy: -3.3924 eV per atom
- Space group: No. 225

=====

3.
A plane-wave DFT calculation with PBE was carried out for a relaxed structure of Y3ZrMn.

abc: 5.4201 5.4201 5.4201
angles: 90.00 90.00 90.00
Fractional coordinates of all 5 atoms:
Y 0.0000 0.5000 0.0000
Y 0.0000 0.0000 0.5000
Y 0.5000 0.0000 0.0000
Mn 0.5000 0.5000 0.5000
Zr 0.0000 0.0000 0.0000

Computed properties:
- Energy relative to the elements: 1.43 eV per atom
- Space group: No. 221

=====

4.
A plane-wave DFT calculation with PBE was carried out for a relaxed structure of RbVCoTe3.

abc: 3.8658 9.6678 10.5777
angles: 119.21 90.00 90.00
Fractional coordinates of all 12 atoms:
Rb 0.2500 0.2494 0.2561
Rb 0.7500 0.7506 0.7439
V 0.2500 0.7063 0.1766
V 0.7500 0.2937 0.8234
Co 0.2500 0.0842 0.5966
Co 0.7500 0.9158 0.4034
Te 0.7500 0.8862 0.1534
Te 0.2500 0.1138 0.8466
Te 0.2500 0.7842 0.4554
Te 0.7500 0.2158 0.5446
Te 0.7500 0.4746 0.1277
Te 0.2500 0.5254 0.8723

Computed properties:
- Energy: -4.8519 eV per atom
- Space group: No. 11

=====

5.
A plane-wave DFT calculation with PBE was carried out for a relaxed structure of Ho12Tm6Zr.

abc: 8.3842 8.3842 8.3842
angles: 88.58 88.58 88.58
Fractional coordinates of all 19 atoms:
Ho 0.7803 0.5363 0.4414
Ho 0.4414 0.7803 0.5363
Ho 0.5363 0.4414 0.7803
Ho 0.2197 0.4637 0.5586
Ho 0.5586 0.2197 0.4637
Ho 0.4637 0.5586 0.2197
Ho 0.0133 0.1954 0.3530
Ho 0.8046 0.6470 0.9867
Ho 0.6470 0.9867 0.8046
Ho 0.9867 0.8046 0.6470
Ho 0.1954 0.3530 0.0133
Ho 0.3530 0.0133 0.1954
Tm 0.7462 0.9060 0.2979
Tm 0.7021 0.2538 0.0940
Tm 0.0940 0.7021 0.2538
Tm 0.2538 0.0940 0.7021
Tm 0.2979 0.7462 0.9060
Tm 0.9060 0.2979 0.7462
Zr 0.0000 0.0000 0.0000

Computed properties:
- Energy relative to the elements: 0.16 eV per atom
- Space group: No. 148

=====

6.
A plane-wave DFT calculation with PBE was carried out for a relaxed structure of FePt2Au.

abc: 4.4684 4.4684 4.4684
angles: 60.00 60.00 60.00
Fractional coordinates of all 4 atoms:
Au 0.5000 0.5000 0.5000
Fe 0.0000 0.0000 0.0000
Pt 0.2500 0.2500 0.2500
Pt 0.7500 0.7500 0.7500

Computed properties:
- Energy relative to the elements: 0.02 eV per atom
- Space group: No. 225

=====

Per-record M_tot, μB per atom: 0.000, 0.100, 0.019, 0.313, 0.000, 0.951